# YEr2Pd3

A relaxed YEr2Pd3 crystal (GGA-PBE, the Alexandria database).

a b c (Å): 3.4218 4.9823 14.9495
angles (deg): 90.00 90.00 90.00
Closest atoms and distances in Å follow each position.
Atoms (fractional coordinates):
Er (0.9995, 0.5000, 0.8335)  8 Pd 2.98-3.02
Er (0.0005, 0.0000, 0.3335)  8 Pd 2.98-3.02
Er (0.9995, 0.5000, 0.1665)  8 Pd 2.98-3.02
Er (0.0005, 0.0000, 0.6665)  8 Pd 2.98-3.02
Pd (0.5012, 0.0000, 0.5000)  4 Er 3.02, 4 Y 3.02
Pd (0.5002, 0.5000, 0.6702)  6 Er 2.98-3.02, 2 Y 3.06-3.07
Pd (0.4998, 0.0000, 0.1702)  6 Er 2.98-3.02, 2 Y 3.06-3.07
Pd (0.4998, 0.0000, 0.8298)  6 Er 2.98-3.02, 2 Y 3.06-3.07
Pd (0.4988, 0.5000, 0.0000)  4 Er 3.02, 4 Y 3.02
Pd (0.5002, 0.5000, 0.3298)  6 Er 2.98-3.02, 2 Y 3.06-3.07
Y (0.0011, 0.5000, 0.5000)  8 Pd 3.02-3.07
Y (0.9989, 0.0000, 0.0000)  8 Pd 3.02-3.07

Values from the calculation:
E above lowest polymorph ... 0.000 eV per atom